Run P
A relaxed RbPb crystal. Source: Alexandria, functional GGA-PBE.

Properties
Magnetic moment ... 0.00 μB per atom

Geometry as POSCAR:
```
RbPb
1.0
-5.148 9.550 1.496
-6.916 -4.823 6.989
6.753 2.341 8.298
Rb Pb
8 8
Direct
0.207 0.207 0.207 Rb
0.207 0.793 0.793 Rb
0.793 0.207 0.793 Rb
0.793 0.793 0.207 Rb
0.707 0.707 0.707 Rb
0.707 0.293 0.293 Rb
0.293 0.707 0.293 Rb
0.293 0.293 0.707 Rb
0.399 0.399 0.399 Pb
0.399 0.601 0.601 Pb
0.601 0.399 0.601 Pb
0.601 0.601 0.399 Pb
0.899 0.899 0.899 Pb
0.899 0.101 0.101 Pb
0.101 0.899 0.101 Pb
0.101 0.101 0.899 Pb
```



Run Q
A relaxed RbPb crystal. Source: Alexandria, functional GGA-PBE.

Properties
Magnetic moment ... 0.00 μB per atom

Geometry as POSCAR:
```
RbPb
1.0
-0.286 10.485 -5.996
-8.986 -1.891 9.295
1.379 5.987 10.403
Pb Rb
16 16
Direct
0.808 0.386 0.868 Pb
0.578 0.386 0.746 Pb
0.882 0.886 0.172 Pb
0.004 0.886 0.942 Pb
0.672 0.114 0.382 Pb
0.442 0.114 0.504 Pb
0.246 0.614 0.078 Pb
0.368 0.614 0.308 Pb
0.942 0.114 0.882 Pb
0.172 0.114 0.004 Pb
0.868 0.614 0.578 Pb
0.746 0.614 0.808 Pb
0.078 0.386 0.368 Pb
0.308 0.386 0.246 Pb
0.504 0.886 0.672 Pb
0.382 0.886 0.442 Pb
0.625 0.750 0.990 Rb
0.125 0.750 0.260 Rb
0.760 0.250 0.625 Rb
0.490 0.250 0.125 Rb
0.125 0.750 0.760 Rb
0.625 0.750 0.490 Rb
0.990 0.250 0.125 Rb
0.260 0.250 0.625 Rb
0.121 0.000 0.379 Rb
0.879 0.000 0.621 Rb
0.371 0.500 0.871 Rb
0.129 0.500 0.629 Rb
0.629 0.500 0.371 Rb
0.871 0.500 0.129 Rb
0.379 0.000 0.879 Rb
0.621 0.000 0.121 Rb
```



Q: Which of them is the most stable? A: run Q.



Run P
A relaxed RbPb crystal. Source: Alexandria, functional GGA-PBE.

Properties
DOS at the Fermi energy ... 14.104 states/eV per cell
Magnetic moment ... 0.00 μB per atom

Geometry as POSCAR:
```
RbPb
1.0
-8.265 11.107 -0.018
-7.784 -5.808 -9.867
-2.233 -1.657 2.737
Rb Pb
8 8
Direct
0.332 0.133 0.000 Rb
0.668 0.867 0.000 Rb
0.867 0.332 0.000 Rb
0.133 0.668 0.000 Rb
0.832 0.633 0.500 Rb
0.168 0.367 0.500 Rb
0.367 0.832 0.500 Rb
0.633 0.168 0.500 Rb
0.145 0.938 0.000 Pb
0.855 0.062 0.000 Pb
0.062 0.145 0.000 Pb
0.938 0.855 0.000 Pb
0.645 0.438 0.500 Pb
0.355 0.562 0.500 Pb
0.562 0.645 0.500 Pb
0.438 0.355 0.500 Pb
```



Run Q
A relaxed RbPb crystal. Source: Alexandria, functional GGA-PBE.

Properties
DOS at the Fermi energy ... 1.580 states/eV per cell
Magnetic moment ... 0.00 μB per atom

Geometry as POSCAR:
```
RbPb
1.0
4.155 0.000 -0.143
0.000 5.370 0.000
-1.759 0.000 7.656
Pb Rb
2 2
Direct
0.942 0.750 0.880 Pb
0.058 0.250 0.120 Pb
0.344 0.250 0.679 Rb
0.656 0.750 0.321 Rb
```



Q: Which of them is the most stable? A: run Q.